Below is crystalline LaTl2Ir at its relaxed geometry, with properties calculated at the PBE-GGA level.

Total DFT energy (no corrections)   -4.76 eV/atom
Theoretical density   10.37 g/cm³
Total magnetic moment   0.0 μB/cell

a = 7.701 Å, b = 7.701 Å, c = 7.701 Å
α = 32.69°, β = 32.69°, γ = 32.69°
Fractional positions:
La1 0.775 0.775 0.775
Tl1 0.988 0.988 0.988
Ir1 0.507 0.507 0.507
Tl2 0.230 0.230 0.230

=====

Below is crystalline RbPaTe3Se at its relaxed geometry, with properties calculated at the PBE-GGA level.

Raw formation energy   -0.86 eV per atom
Total DFT energy (no corrections)   -4.76 eV/atom
Theoretical density   5.88 g/cm³
Total magnetic moment   0.2 μB/cell

a = 4.320 Å, b = 9.246 Å, c = 11.634 Å
α = 108.89°, β = 90.00°, γ = 90.00°
Last column: magnetic moment on the atom in μB.
Fractional positions:
Rb1 0.250 0.238 0.305  0.00
Pa1 0.250 0.688 0.180  0.12
Te1 0.250 0.654 0.422  -0.01
Te2 0.750 0.434 0.114  -0.01
Te3 0.750 0.346 0.578  -0.01
Pa2 0.750 0.312 0.820  0.12
Te4 0.250 0.102 0.901  0.00
Rb2 0.750 0.762 0.695  0.00
Se1 0.750 0.865 0.317  0.00
Se2 0.250 0.135 0.683  0.00
Te5 0.250 0.566 0.886  -0.01
Te6 0.750 0.898 0.099  0.00

=====

Below is crystalline RbAg4F8 at its relaxed geometry, with properties calculated at the PBE-GGA level.

Raw formation energy   -1.06 eV per atom
Total DFT energy (no corrections)   -3.16 eV/atom
Energy above the lowest structure with this stoichiometry   268 meV per atom
Theoretical density   5.71 g/cm³
Total magnetic moment   3.2 μB/cell

a = 5.796 Å, b = 5.796 Å, c = 5.796 Å
α = 90.00°, β = 90.00°, γ = 90.00°
Last column: magnetic moment on the atom in μB.
Fractional positions:
F1 0.239 0.761 0.761  0.18
F2 0.761 0.761 0.761  0.18
F3 0.761 0.761 0.239  0.18
F4 0.239 0.761 0.239  0.18
Rb1 0.500 0.500 0.500  0.01
F5 0.761 0.239 0.761  0.18
Ag1 0.000 0.500 0.500  0.32
F6 0.239 0.239 0.761  0.18
F7 0.761 0.239 0.239  0.18
Ag2 0.500 0.500 0.000  0.32
F8 0.239 0.239 0.239  0.18
Ag3 0.000 0.000 0.000  0.66
Ag4 0.500 0.000 0.500  0.32

=====

Below is crystalline Hg2Pt3S4 at its relaxed geometry, with properties calculated at the PBE-GGA level.

Raw formation energy   -0.14 eV per atom
Total DFT energy (no corrections)   -4.06 eV/atom
Theoretical density   7.43 g/cm³
Total magnetic moment   0.0 μB/cell

a = 5.623 Å, b = 5.623 Å, c = 8.840 Å
α = 103.79°, β = 103.79°, γ = 104.50°
Fractional positions:
Pt1 0.000 0.500 0.000
S1 0.890 0.299 0.190
Hg1 0.273 0.273 0.546
S2 0.110 0.701 0.810
S3 0.701 0.110 0.810
S4 0.299 0.890 0.190
Pt2 0.500 0.000 0.000
Hg2 0.727 0.727 0.454
Pt3 0.000 0.000 0.000